# CaCe5Pb6

An optimized crystal structure of CaCe5Pb6 (PBE, Alexandria via LeMat-Bulk).

Calculated values
The total magnetization is 6.71 Bohr magnetons per cell. The space-group type is P2/m. For the calculated total energy, the calculation gives -58.86 eV per cell. The formation energy comes out at -0.411 eV per atom.

a b c (Å): 5.103 9.132 8.095
angles (deg): 90.00 71.41 90.00
Fractional positions:
Pb 0.833 0.751 0.333
Pb 0.833 0.249 0.333
Pb 0.500 0.247 0.000
Pb 0.500 0.753 0.000
Pb 0.167 0.751 0.667
Pb 0.167 0.249 0.667
Ca 0.000 0.000 0.000
Ce 0.665 0.500 0.670
Ce 0.331 0.000 0.337
Ce 0.000 0.500 0.000
Ce 0.669 0.000 0.663
Ce 0.335 0.500 0.330



# CaCe2Pb2

An optimized crystal structure of CaCe2Pb2 (PBE, Alexandria via LeMat-Bulk).

Calculated values
The total magnetization is 2.83 Bohr magnetons per cell. The space-group type is C2/m. For the calculated total energy, the calculation gives -43.78 eV per cell. The formation energy comes out at -0.121 eV per atom.

a b c (Å): 6.409 6.901 8.773
angles (deg): 120.83 111.42 90.00
Fractional positions:
Ca 0.000 0.750 0.000
Ca 0.000 0.250 0.000
Ce 0.413 0.282 0.827
Ce 0.587 0.218 0.173
Ce 0.587 0.718 0.173
Ce 0.413 0.782 0.827
Pb 0.205 0.253 0.409
Pb 0.204 0.753 0.409
Pb 0.795 0.747 0.591
Pb 0.796 0.247 0.591



# CaCe2Pb

An optimized crystal structure of CaCe2Pb (PBE, Alexandria via LeMat-Bulk).

Calculated values
The total magnetization is 2.68 Bohr magnetons per cell. The value obtained for the energy above the lowest structure with this stoichiometry is 0 meV/atom. The space-group type is P4/mmm. For the calculated total energy, the calculation gives -18.33 eV per cell. The formation energy comes out at -0.187 eV per atom.

a b c (Å): 5.303 4.722 4.722
angles (deg): 90.00 90.00 90.00
Fractional positions:
Pb 0.500 0.000 0.000
Ca 0.500 0.500 0.500
Ce 0.000 0.000 0.500
Ce 0.000 0.500 0.000



# CaCePb2

An optimized crystal structure of CaCePb2 (PBE, Alexandria via LeMat-Bulk).

Calculated values
The total magnetization is 1.22 Bohr magnetons per cell. The space-group type is Cmmm. For the calculated total energy, the calculation gives -17.18 eV per cell. The formation energy comes out at -0.457 eV per atom.

a b c (Å): 3.573 5.861 5.861
angles (deg): 101.16 90.00 90.00
Fractional positions:
Ca 0.500 0.500 0.500
Ce 0.500 0.000 0.000
Pb 0.000 0.000 0.500
Pb 0.000 0.500 0.000



# Ca5CePb6

An optimized crystal structure of Ca5CePb6 (PBE, Alexandria via LeMat-Bulk).

Calculated values
The total magnetization is 0.91 Bohr magnetons per cell. The space-group type is Immm. For the calculated total energy, the calculation gives -44.14 eV per cell. The formation energy comes out at -0.496 eV per atom.

a b c (Å): 5.142 9.089 9.367
angles (deg): 60.98 74.10 90.00
Fractional positions:
Pb 0.835 0.586 0.331
Pb 0.835 0.083 0.331
Pb 0.500 0.753 0.000
Pb 0.500 0.247 0.000
Pb 0.165 0.917 0.669
Pb 0.165 0.414 0.669
Ca 0.672 0.172 0.656
Ca 0.335 0.335 0.331
Ca 0.000 0.500 0.000
Ca 0.665 0.665 0.669
Ca 0.328 0.828 0.344
Ce 0.000 0.000 0.000



# CaCePb2

An optimized crystal structure of CaCePb2 (PBE, Alexandria via LeMat-Bulk).

Calculated values
The total magnetization is 0.90 Bohr magnetons per cell. The space-group type is P4/mmm. For the calculated total energy, the calculation gives -17.15 eV per cell. The formation energy comes out at -0.448 eV per atom.

a b c (Å): 4.472 5.201 5.201
angles (deg): 90.00 90.00 90.00
Fractional positions:
Pb 0.000 0.000 0.500
Pb 0.000 0.500 0.000
Ca 0.500 0.000 0.000
Ce 0.500 0.500 0.500